# Hg3Ir

Hg3Ir after structural relaxation (GGA-PBE, Alexandria).

a = 4.6550 Å, b = 7.1045 Å, c = 2.9801 Å
α = 77.89°, β = 90.00°, γ = 109.12°
With the nearest neighbours (Å) after each atom.
Fractional positions:
Hg 0.9351 0.8702 0.0649  2 Ir 2.84, 2 Hg 2.98
Hg 0.5649 0.1298 0.4351  2 Ir 2.84, 2 Hg 2.98
Ir 0.7500 0.5000 0.7500  8 Hg 2.76-2.84, 2 Ir 2.98
Hg 0.2500 0.5000 0.2500  4 Ir 2.76, 2 Hg 2.98

Calculated values
energy relative to the lowest polymorph listed for this composition = 2 meV/atom
crystal system = orthorhombic
energy of formation from the pure elements = 0.285 eV per atom
calculated total energy = -2.157 eV/atom
density = 14.52 Mg/m³
Fermi-level density of states = 0.52 states/eV per atom
calculated volume = 22.7 Å³/atom

=====

# Pu2CoH6Pt

Pu2CoH6Pt after structural relaxation (GGA-PBE, Alexandria).

a = 5.1083 Å, b = 5.1035 Å, c = 5.3598 Å
α = 121.66°, β = 121.78°, γ = 84.03°
With the nearest neighbours (Å) after each atom.
Fractional positions:
Pt 0.4999 0.5004 0.9998  2 H 1.77
H 0.7583 0.2408 0.9976  1 Co 1.65, 1 Pt 1.77
H 0.2414 0.7599 0.0019  1 Co 1.65, 1 Pt 1.77
Co 0.9999 0.0004 0.9998  6 H 1.63-1.65
H 0.2149 0.2149 0.0003  1 Co 1.63
H 0.2145 0.2161 0.4298  1 Co 1.63
H 0.7853 0.7847 0.5699  1 Co 1.63
H 0.7849 0.7859 0.9993  1 Co 1.63
Pu 0.2497 0.7507 0.4997  12 H 2.56-2.69
Pu 0.7501 0.2501 0.4999  12 H 2.56-2.69

Calculated values
crystal system = monoclinic
calculated total energy = -6.520 eV/atom
density = 12.65 Mg/m³
Fermi-level density of states = 1.85 states/eV per atom
calculated volume = 9.8 Å³/atom

=====

# GeH3Os

GeH3Os after structural relaxation (GGA-PBE, Alexandria).

a = 3.5427 Å, b = 3.5427 Å, c = 3.5427 Å
α = 90.00°, β = 90.00°, γ = 90.00°
With the nearest neighbours (Å) after each atom.
Fractional positions:
H 0.0000 0.5000 0.0000  2 Ge 1.77
Ge 0.0000 0.0000 0.0000  6 H 1.77
H 0.0000 0.0000 0.5000  2 Ge 1.77
Os 0.5000 0.5000 0.5000  12 H 2.51
H 0.5000 0.0000 0.0000  2 Ge 1.77

Calculated values
energy relative to the lowest polymorph listed for this composition = 941 meV/atom
crystal system = cubic
calculated total energy = -3.737 eV/atom
density = 9.93 Mg/m³
Fermi-level density of states = 0.51 states/eV per atom
calculated volume = 8.9 Å³/atom

=====

# RbCaCl3

RbCaCl3 after structural relaxation (GGA-PBE, Alexandria).

a = 28.4470 Å, b = 7.1121 Å, c = 10.9241 Å
α = 90.00°, β = 163.11°, γ = 90.00°
With the nearest neighbours (Å) after each atom.
Fractional positions:
Cl 0.7959 0.5640 0.4556  3 Ca 2.82-2.83
Cl 0.9142 0.6886 0.1160  1 Ca 2.69
Cl 0.1466 0.9147 0.2575  2 Ca 2.73-2.74
Ca 0.5288 0.7405 0.6758  6 Cl 2.69-2.83
Ca 0.9712 0.2405 0.8242  6 Cl 2.69-2.83
Rb 0.4807 0.2612 0.8266  5 Cl 3.28-3.38
Cl 0.2959 0.9360 0.9556  3 Ca 2.82-2.83
Cl 0.2041 0.4360 0.5444  3 Ca 2.82-2.83
Cl 0.7041 0.0640 0.0444  3 Ca 2.82-2.83
Cl 0.5858 0.1886 0.3840  1 Ca 2.69
Rb 0.5193 0.7388 0.1734  5 Cl 3.28-3.38
Ca 0.0288 0.7595 0.1758  6 Cl 2.69-2.83
Cl 0.3534 0.4147 0.2425  2 Ca 2.73-2.74
Cl 0.6466 0.5853 0.7575  2 Ca 2.73-2.74
Ca 0.4712 0.2595 0.3242  6 Cl 2.69-2.83
Rb 0.0193 0.7612 0.6734  5 Cl 3.28-3.38
Cl 0.0858 0.3114 0.8840  1 Ca 2.69
Rb 0.9807 0.2388 0.3266  5 Cl 3.28-3.38
Cl 0.4142 0.8114 0.6160  1 Ca 2.69
Cl 0.8534 0.0853 0.7425  2 Ca 2.73-2.74

Calculated values
crystal system = monoclinic
calculated total energy = -3.932 eV/atom
density = 2.40 Mg/m³
Fermi-level density of states = 0.00 states/eV per atom
calculated volume = 32.1 Å³/atom

=====

# CsCaLaF6

CsCaLaF6 after structural relaxation (GGA-PBE, Alexandria).

a = 8.8072 Å, b = 8.3925 Å, c = 8.5817 Å
α = 119.27°, β = 120.87°, γ = 90.00°
With the nearest neighbours (Å) after each atom.
Fractional positions:
F 0.8133 0.0941 0.2714  1 Ca 2.30, 1 La 2.32
F 0.4435 0.6935 0.8869  2 Ca 2.21
F 0.1867 0.9059 0.7286  1 Ca 2.30, 1 La 2.32
Cs 0.7930 0.5430 0.5860  1 F 2.86
F 0.8233 0.0733 0.6466  2 La 2.37
Ca 0.5000 0.0000 0.0000  6 F 2.21-2.30
La 0.0000 0.0000 0.5000  6 F 2.32-2.37
F 0.8133 0.6772 0.2714  1 Ca 2.30, 1 La 2.32
Cs 0.2070 0.4570 0.4140  1 F 2.86
F 0.4580 0.0941 0.2714  1 Ca 2.30, 1 La 2.32
F 0.1767 0.9267 0.3534  2 La 2.37
Ca 0.5000 0.5000 0.0000  6 F 2.21-2.30
F 0.1867 0.3228 0.7286  1 Ca 2.30, 1 La 2.32
F 0.5420 0.9059 0.7286  1 Ca 2.30, 1 La 2.32
F 0.5420 0.3228 0.7286  1 Ca 2.30, 1 La 2.32
F 0.5565 0.3065 0.1131  2 Ca 2.21
La 0.5000 0.0000 0.5000  6 F 2.32-2.37
F 0.4580 0.6772 0.2714  1 Ca 2.30, 1 La 2.32

Calculated values
crystal system = orthorhombic
calculated total energy = -5.838 eV/atom
density = 3.16 Mg/m³
Fermi-level density of states = 0.00 states/eV per atom
calculated volume = 24.9 Å³/atom

=====

# BaReP2O

BaReP2O after structural relaxation (GGA-PBE, Alexandria).

a = 4.9295 Å, b = 4.9295 Å, c = 3.9307 Å
α = 90.00°, β = 90.00°, γ = 90.00°
With the nearest neighbours (Å) after each atom.
Fractional positions:
P 0.0000 0.5000 0.0000  2 Re 2.46
Re 0.0000 0.0000 0.0000  2 O 1.97
O 0.0000 0.0000 0.5000  2 Re 1.97
P 0.5000 0.0000 0.0000  2 Re 2.46
Ba 0.5000 0.5000 0.5000  8 P 3.15, 4 O 3.49

Calculated values
energy relative to the lowest polymorph listed for this composition = 0 meV/atom
crystal system = tetragonal
calculated total energy = -6.649 eV/atom
density = 6.98 Mg/m³
Fermi-level density of states = 0.57 states/eV per atom
calculated volume = 19.1 Å³/atom

=====

# PmEr2Cu2Si2

PmEr2Cu2Si2 after structural relaxation (GGA-PBE, Alexandria).

a = 4.2215 Å, b = 4.2215 Å, c = 9.6389 Å
α = 77.35°, β = 77.35°, γ = 60.00°
With the nearest neighbours (Å) after each atom.
Fractional positions:
Si 0.7397 0.7397 0.7809  3 Cu 2.44
Er 0.8725 0.8725 0.3824  3 Si 2.87, 3 Cu 2.91
Er 0.1275 0.1275 0.6176  3 Si 2.87, 3 Cu 2.91
Pm 0.0000 0.0000 0.0000  6 Cu 3.14, 6 Si 3.18
Cu 0.4041 0.4041 0.7878  3 Si 2.44
Cu 0.5959 0.5959 0.2122  3 Si 2.44
Si 0.2603 0.2603 0.2191  3 Cu 2.44

Calculated values
crystal system = trigonal
calculated total energy = -5.186 eV/atom
density = 7.65 Mg/m³
Fermi-level density of states = 0.53 states/eV per atom
calculated volume = 20.6 Å³/atom

=====

# Pm3Pr2Nd4

Pm3Pr2Nd4 after structural relaxation (GGA-PBE, Alexandria).

a = 6.3742 Å, b = 6.3770 Å, c = 13.2626 Å
α = 118.67°, β = 103.92°, γ = 120.02°
With the nearest neighbours (Å) after each atom.
Fractional positions:
Nd 0.6673 0.3340 0.0001  5 Pm 3.67-3.68, 5 Nd 3.67-3.69, 2 Pr 3.68
Pm 0.4431 0.8875 0.3328  6 Nd 3.67-3.69, 4 Pr 3.68, 2 Pm 3.68
Pm 0.0000 0.0000 0.0000  2 Pr 3.68, 8 Nd 3.68, 2 Pm 3.68
Pr 0.7772 0.5546 0.3330  5 Pm 3.68, 6 Nd 3.68-3.69, 1 Pr 3.69
Nd 0.1111 0.2223 0.3331  5 Pm 3.68-3.69, 4 Pr 3.68-3.69, 3 Nd 3.68
Pm 0.5569 0.1125 0.6672  6 Nd 3.67-3.69, 4 Pr 3.68, 2 Pm 3.68
Pr 0.2228 0.4454 0.6670  5 Pm 3.68, 6 Nd 3.68-3.69, 1 Pr 3.69
Nd 0.8889 0.7777 0.6669  5 Pm 3.68-3.69, 4 Pr 3.68-3.69, 3 Nd 3.68
Nd 0.3327 0.6660 0.9999  5 Pm 3.67-3.68, 5 Nd 3.67-3.69, 2 Pr 3.68

Calculated values
energy relative to the lowest polymorph listed for this composition = 0 meV/atom
crystal system = triclinic
energy of formation from the pure elements = 0.012 eV per atom
calculated total energy = -4.752 eV/atom
density = 6.77 Mg/m³
Fermi-level density of states = 1.60 states/eV per atom
calculated volume = 35.2 Å³/atom

=====

# LaGe3Rh3

LaGe3Rh3 after structural relaxation (GGA-PBE, Alexandria).

a = 8.0112 Å, b = 8.0113 Å, c = 8.0112 Å
α = 90.01°, β = 90.01°, γ = 90.01°
With the nearest neighbours (Å) after each atom.
Fractional positions:
Ge 0.9111 0.8581 0.1844  4 Rh 2.44-2.68
Rh 0.3984 0.8984 0.6016  6 Ge 2.56-2.68
La 0.5387 0.9613 0.0388  4 Rh 3.05-3.08, 9 Ge 3.21-3.31
Rh 0.6016 0.3984 0.8984  6 Ge 2.56-2.68
Rh 0.8781 0.8782 0.8781  3 Ge 2.47, 1 Rh 2.73
Ge 0.3581 0.3156 0.0888  4 Rh 2.44-2.68
Rh 0.1813 0.8188 0.3186  3 Ge 2.44
Rh 0.6219 0.1218 0.3785  3 Ge 2.47, 1 Rh 2.73
Ge 0.0887 0.3580 0.3156  4 Rh 2.44-2.68
La 0.9613 0.0387 0.5387  4 Rh 3.05-3.08, 9 Ge 3.21-3.31
Ge 0.3156 0.0888 0.3581  4 Rh 2.44-2.68
Ge 0.1844 0.9111 0.8581  4 Rh 2.44-2.68
La 0.4613 0.4612 0.4613  4 Rh 3.05-3.08, 9 Ge 3.21-3.31
Rh 0.8984 0.6016 0.3983  6 Ge 2.56-2.68
Rh 0.6812 0.6812 0.6811  3 Ge 2.44
Rh 0.3784 0.6219 0.1219  3 Ge 2.47, 1 Rh 2.73
Rh 0.1219 0.3784 0.6219  3 Ge 2.47, 1 Rh 2.73
Ge 0.8155 0.4111 0.6418  4 Rh 2.44-2.68
La 0.0387 0.5387 0.9613  4 Rh 3.05-3.08, 9 Ge 3.21-3.31
Rh 0.8187 0.3186 0.1813  3 Ge 2.44
Ge 0.8581 0.1845 0.9112  4 Rh 2.44-2.68
Ge 0.4111 0.6418 0.8155  4 Rh 2.44-2.68
Rh 0.1016 0.1016 0.1016  6 Ge 2.56-2.68
Ge 0.6418 0.8155 0.4111  4 Rh 2.44-2.68
Ge 0.5888 0.1419 0.6846  4 Rh 2.44-2.68
Ge 0.1419 0.6846 0.5887  4 Rh 2.44-2.68
Ge 0.6846 0.5887 0.1419  4 Rh 2.44-2.68
Rh 0.3186 0.1813 0.8187  3 Ge 2.44

Calculated values
energy relative to the lowest polymorph listed for this composition = 18 meV/atom
crystal system = cubic
energy of formation from the pure elements = -0.499 eV per atom
calculated total energy = -6.333 eV/atom
density = 8.60 Mg/m³
Fermi-level density of states = 0.73 states/eV per atom
calculated volume = 18.4 Å³/atom

=====

# La2HgPd

La2HgPd after structural relaxation (GGA-PBE, Alexandria).

a = 4.1838 Å, b = 4.1838 Å, c = 8.4635 Å
α = 75.69°, β = 75.69°, γ = 60.00°
With the nearest neighbours (Å) after each atom.
Fractional positions:
La 0.7384 0.7384 0.7848  3 Pd 2.98
Pd 0.0000 0.0000 0.0000  6 La 2.98
La 0.2616 0.2616 0.2152  3 Pd 2.98
Hg 0.5000 0.5000 0.5000  6 La 3.34

Calculated values
crystal system = trigonal
energy of formation from the pure elements = -0.567 eV per atom
calculated total energy = -4.405 eV/atom
density = 7.90 Mg/m³
Fermi-level density of states = 0.75 states/eV per atom
calculated volume = 30.7 Å³/atom

=====

# Te2RhW

Te2RhW after structural relaxation (GGA-PBE, Alexandria).

a = 5.5057 Å, b = 5.5057 Å, c = 2.9078 Å
α = 90.00°, β = 90.00°, γ = 106.80°
With the nearest neighbours (Å) after each atom.
Fractional positions:
W 0.5000 0.5000 0.0000  4 Te 2.75, 2 W 2.91
Rh 0.0000 0.0000 0.0000  4 Te 2.75, 2 Rh 2.91
Te 0.5000 0.0000 0.0000  2 W 2.75, 2 Rh 2.75, 2 Te 2.91
Te 0.0000 0.5000 0.0000  2 W 2.75, 2 Rh 2.75, 2 Te 2.91

Calculated values
energy relative to the lowest polymorph listed for this composition = 583 meV/atom
crystal system = orthorhombic
calculated total energy = -5.932 eV/atom
density = 10.66 Mg/m³
Fermi-level density of states = 0.96 states/eV per atom
calculated volume = 21.1 Å³/atom

=====

# RbFeAgCl4

RbFeAgCl4 after structural relaxation (GGA-PBE, Alexandria).

a = 6.3730 Å, b = 7.3941 Å, c = 8.9625 Å
α = 90.00°, β = 105.80°, γ = 90.00°
With the nearest neighbours (Å) after each atom.
Fractional positions:
Rb 0.7388 0.7500 0.9273  9 Cl 3.35-3.72
Ag 0.8508 0.7500 0.4842  5 Cl 2.58-2.81
Cl 0.9704 0.9907 0.2877  1 Fe 2.33
Cl 0.0296 0.0093 0.7123  1 Fe 2.33
Cl 0.0296 0.4907 0.7123  1 Fe 2.33
Fe 0.2141 0.7500 0.3150  4 Cl 2.27-2.33
Rb 0.2612 0.2500 0.0727  9 Cl 3.35-3.72
Ag 0.1492 0.2500 0.5158  5 Cl 2.58-2.81
Cl 0.9704 0.5093 0.2877  1 Fe 2.33
Cl 0.4772 0.7500 0.5445  1 Fe 2.27
Fe 0.7859 0.2500 0.6850  4 Cl 2.27-2.33
Cl 0.5228 0.2500 0.4555  1 Fe 2.27
Cl 0.6710 0.2500 0.9049  1 Fe 2.28
Cl 0.3290 0.7500 0.0951  1 Fe 2.28

Calculated values
crystal system = monoclinic
calculated total energy = -3.791 eV/atom
density = 3.20 Mg/m³
Fermi-level density of states = 0.96 states/eV per atom
calculated volume = 29.0 Å³/atom